1 | Computed, not measured: SiAgPO after structural relaxation at the GGA-PBE level of DFT.

```
data_SiAgPO
_chemical_formula_sum 'Si2 Ag2 P2 O2'
_symmetry_space_group_name_H-M 'P m c 21'
_symmetry_Int_Tables_number 26
_symmetry_space_group_name_Hall 'P 2c -2'
_cell_length_a 3.518
_cell_length_b 8.296
_cell_length_c 4.778
_cell_angle_alpha 90.00
_cell_angle_beta 90.00
_cell_angle_gamma 90.00
loop_
_atom_site_label
_atom_site_fract_x
_atom_site_fract_y
_atom_site_fract_z
Si1 0.000 0.120 0.000
Ag1 0.500 0.387 0.441
P1 0.500 0.281 0.936
O1 0.000 0.050 0.322
```

Results
density = 4.36 g/cm3


2 | Computed, not measured: SiAgPO after structural relaxation at the GGA-PBE level of DFT.

```
data_SiAgPO
_chemical_formula_sum 'Si2 Ag2 P2 O2'
_symmetry_space_group_name_H-M 'P 4/n m m'
_symmetry_Int_Tables_number 129
_cell_length_a 4.235
_cell_length_b 4.235
_cell_length_c 7.858
_cell_angle_alpha 90.00
_cell_angle_beta 90.00
_cell_angle_gamma 90.00
loop_
_symmetry_equiv_pos_as_xyz
'x,y,z'
'-x,-y,-z'
'-y+1/2,x,z'
'y+1/2,-x,-z'
'-x+1/2,-y+1/2,z'
'x+1/2,y+1/2,-z'
'y,-x+1/2,z'
'-y,x+1/2,-z'
'x+1/2,-y,-z'
'-x+1/2,y,z'
'-y,-x,-z'
'y,x,z'
'-x,y+1/2,-z'
'x,-y+1/2,z'
'y+1/2,x+1/2,-z'
'-y+1/2,-x+1/2,z'
loop_
_atom_site_label
_atom_site_fract_x
_atom_site_fract_y
_atom_site_fract_z
Si1 0.250 0.750 0.000
Ag1 0.250 0.250 0.447
P1 0.250 0.250 0.863
O1 0.250 0.750 0.500
```

Results
density = 4.31 g/cm3


Which of them is most stable, and which least? Most stable: 1; least stable: 2.